{"formula": "CaTe2Br", "functional": "PBE-GGA", "state": "optimized geometry", "lattice": [[-2.1408, 3.5724, 1.1284], [0.8891, -0.7790, 4.1529], [6.5787, 4.0192, -0.2432]], "species": ["Br", "Te", "Te", "Ca"], "fractional_positions": [[0.0000, 0.3988, 0.6118], [0.0000, 0.8570, 0.0701], [0.5000, 0.3569, 0.0707], [0.5000, 0.8873, 0.7474]], "raw_formation_energy_ev_per_atom": -1.048, "polymorph_energy_ev_per_atom": 0.000}

---

{"formula": "Sc2Ir3", "functional": "PBE-GGA", "state": "optimized geometry", "lattice": [[2.1916, -3.7960, 0.0000], [2.1916, 3.7960, 0.0000], [0.0000, 0.0000, 5.4154]], "species": ["Ir", "Ir", "Ir", "Sc", "Sc"], "fractional_positions": [[0.6667, 0.3333, 0.6649], [0.0000, 0.0000, 0.0000], [0.3333, 0.6667, 0.3351], [0.6667, 0.3333, 0.1829], [0.3333, 0.6667, 0.8171]], "delta_e_f_ev_per_atom": -0.34, "polymorph_energy_ev_per_atom": 0.323}

---

{"formula": "KHgPd", "functional": "PBE-GGA", "state": "optimized geometry", "lattice": [[4.6697, 0.0000, -0.0001], [0.0000, 5.9757, -0.0066], [0.0000, -2.9857, 5.9033]], "species": ["Hg", "Hg", "K", "K", "Pd", "Pd"], "fractional_positions": [[0.8702, 0.7286, 0.2489], [0.8702, 0.2900, 0.3716], [0.8702, 0.9482, 0.8103], [0.3702, 0.4414, 0.8102], [0.3702, 0.5196, 0.3277], [0.3702, 0.0021, 0.2928]], "delta_e_f_ev_per_atom": -0.20, "polymorph_energy_ev_per_atom": 0.011}

---

{"formula": "Li14CdAg", "functional": "PBE-GGA", "state": "optimized geometry", "lattice": [[5.9401, -0.3156, 0.0000], [-2.6184, 5.3412, 0.0000], [0.0000, 0.0000, 9.7698]], "species": ["Li", "Li", "Li", "Li", "Li", "Li", "Li", "Li", "Li", "Li", "Li", "Li", "Li", "Li", "Cd", "Ag"], "fractional_positions": [[0.8753, 0.6316, 0.2615], [0.2006, 0.2918, 0.0000], [0.2036, 0.7964, 0.0000], [0.0508, 0.4556, 0.5000], [0.5444, 0.9492, 0.5000], [0.8766, 0.1234, 0.2585], [0.7082, 0.7994, 0.0000], [0.8766, 0.1234, 0.7415], [0.7040, 0.2960, 0.0000], [0.3766, 0.6234, 0.7515], [0.3684, 0.1247, 0.7385], [0.8753, 0.6316, 0.7385], [0.3684, 0.1247, 0.2615], [0.3766, 0.6234, 0.2485], [0.5470, 0.4530, 0.5000], [0.0476, 0.9524, 0.5000]], "delta_e_f_ev_per_atom": -0.07}

---

Please write out number 4 again, unchanged.
{"formula": "Li14CdAg", "functional": "PBE-GGA", "state": "optimized geometry", "lattice": [[5.9401, -0.3156, 0.0000], [-2.6184, 5.3412, 0.0000], [0.0000, 0.0000, 9.7698]], "species": ["Li", "Li", "Li", "Li", "Li", "Li", "Li", "Li", "Li", "Li", "Li", "Li", "Li", "Li", "Cd", "Ag"], "fractional_positions": [[0.8753, 0.6316, 0.2615], [0.2006, 0.2918, 0.0000], [0.2036, 0.7964, 0.0000], [0.0508, 0.4556, 0.5000], [0.5444, 0.9492, 0.5000], [0.8766, 0.1234, 0.2585], [0.7082, 0.7994, 0.0000], [0.8766, 0.1234, 0.7415], [0.7040, 0.2960, 0.0000], [0.3766, 0.6234, 0.7515], [0.3684, 0.1247, 0.7385], [0.8753, 0.6316, 0.7385], [0.3684, 0.1247, 0.2615], [0.3766, 0.6234, 0.2485], [0.5470, 0.4530, 0.5000], [0.0476, 0.9524, 0.5000]], "delta_e_f_ev_per_atom": -0.07}